Entry 1:
A relaxed PmIrRuO6 crystal, computed with PBE.

**Formation energy (no corrections)**: -1359.2 meV/atom
**Uncorrected energy**: -129.7 eV/cell

Cell: 5.3584 5.3584 8.7730 Å, 90.00 90.00 120.00°
Last column: nearest neighbours and their distance in Å.
Space group P-31c (No. 163)
Asymmetric unit:
Pm (0.3333, 0.6667, 0.2500) x2  6 O 2.31
Ir (0.3333, 0.6667, 0.7500) x2  6 O 2.03
Ru (0.0000, 0.0000, 0.0000) x2  6 O 2.01
O (0.0423, 0.3404, 0.6172) x12  1 Ru 2.01, 1 Ir 2.03


Entry 2:
A relaxed Pm2ScIrO8 crystal, computed with PBE.

**Formation energy (no corrections)**: -2234.6 meV/atom
**Uncorrected energy**: -91.2 eV/cell

Cell: 4.7742 5.0885 6.8669 Å, 90.31 90.66 93.06°
Last column: nearest neighbours and their distance in Å.
Space group P-1 (No. 2)
Asymmetric unit:
Pm (0.0656, 0.0390, 0.2471) x2  6 O 2.22-2.48
Sc (0.5000, 0.5000, 0.0000) x1  2 O 2.01
Ir (0.5000, 0.5000, 0.5000) x1  6 O 1.86-2.00
O (0.1918, 0.2193, 0.9663) x2  1 Sc 2.01, 1 Pm 2.22
O (0.1936, 0.2659, 0.5387) x2  1 Ir 1.86
O (0.3158, 0.6556, 0.2750) x2  1 Ir 1.96
O (0.3738, 0.7287, 0.7167) x2  1 Ir 2.00


Entry 3:
A relaxed PmSc2IrO8 crystal, computed with PBE.

**Formation energy (no corrections)**: -2297.0 meV/atom
**Uncorrected energy**: -93.5 eV/cell

Cell: 4.8927 6.6247 4.8989 Å, 90.00 90.97 90.00°
Last column: nearest neighbours and their distance in Å.
Space group P2/m (No. 10)
Asymmetric unit:
Pm (0.0000, 0.0000, 0.0000) x1  6 O 2.25-2.36
Sc (0.5000, 0.2420, 0.5000) x2  4 O 2.03-2.10
Ir (0.0000, 0.5000, 0.0000) x1  6 O 1.92-1.93
O (0.1981, 0.2924, 0.1968) x4  1 Ir 1.93, 1 Sc 2.10
O (0.2746, 0.5000, 0.7244) x2  1 Ir 1.92
O (0.3212, 0.0000, 0.6772) x2  2 Sc 2.03, 1 Pm 2.25


Entry 4:
A relaxed SrPmIrO6 crystal, computed with PBE.

**Formation energy (no corrections)**: -1859.3 meV/atom
**Uncorrected energy**: -123.6 eV/cell

Cell: 5.7183 5.7183 10.1416 Å, 90.00 90.00 120.00°
Last column: nearest neighbours and their distance in Å.
Space group P-31c (No. 163)
Asymmetric unit:
Sr (0.0000, 0.0000, 0.0000) x2  6 O 2.55
Pm (0.3333, 0.6667, 0.2500) x2  6 O 2.33
Ir (0.3333, 0.6667, 0.7500) x2  6 O 1.93
O (0.0529, 0.3912, 0.6423) x12  1 Ir 1.93


Entry 5:
A relaxed Pm3TeIrO crystal, computed with PBE.

**Formation energy (no corrections)**: -1647.5 meV/atom
**Uncorrected energy**: -82.2 eV/cell

Cell: 9.0174 4.1620 9.0453 Å, 90.00 108.26 90.00°
Last column: nearest neighbours and their distance in Å.
Space group P2_1/m (No. 11)
Asymmetric unit:
Pm (0.0642, 0.2500, 0.2958) x2  3 Ir 2.81-2.87
Pm (0.3269, 0.2500, 0.9690) x2  3 O 2.31-2.33
Pm (0.3265, 0.7500, 0.6365) x2  1 O 2.31
Te (0.3495, 0.7500, 0.2732) x2  7 Pm 3.36-3.47, 3 O 3.53-3.74
Ir (0.1064, 0.2500, 0.6241) x2  6 Pm 2.81-3.13
O (0.4071, 0.7500, 0.9052) x2  4 Pm 2.31-2.33


Entry 6:
A relaxed PmTiIrO6 crystal, computed with PBE.

**Formation energy (no corrections)**: -2220.4 meV/atom
**Uncorrected energy**: -142.5 eV/cell

Cell: 5.1953 5.1953 10.1638 Å, 90.00 90.00 120.00°
Last column: nearest neighbours and their distance in Å.
Space group P-31c (No. 163)
Asymmetric unit:
Pm (0.0000, 0.0000, 0.0000) x2  6 O 2.38
Ti (0.3333, 0.6667, 0.2500) x2  6 O 1.98
Ir (0.3333, 0.6667, 0.7500) x2  6 O 1.99
O (0.0006, 0.3618, 0.1437) x12  1 Ti 1.98, 1 Ir 1.99